! meta-GGA SCAN K2CaC2O6, single point on PBEsol structure; values from VASP
! Crystal system: trigonal
! D(E_F): 0.0 states/eV/cell
! Calculated volume: 13.6 A^3/atom
! E_form (uncorrected): -2.193 eV per atom
! DFT total energy: -9.8209 eV/atom
&SYSTEM
  ibrav = 0, nat = 11, ntyp = 4
/
ATOMIC_SPECIES
K 39.10 K.upf
O 16.00 O.upf
Ca 40.08 Ca.upf
C 12.01 C.upf
ATOMIC_POSITIONS angstrom
K -3.120 -1.674 1.441
K -7.374 -6.305 2.577
O -3.265 -4.438 1.957
O -4.440 -3.801 0.153
O -7.228 -3.541 2.062
O -6.053 -4.178 3.866
O -5.631 -2.200 2.893
O -4.862 -5.780 1.126
Ca 0.000 0.000 0.000
C -6.310 -3.303 2.945
C -4.183 -4.676 1.074
CELL_PARAMETERS angstrom
-3.823 -3.210 -1.987
-1.010 -4.736 2.329
-5.660 -0.033 3.677

! meta-GGA SCAN MnTl2Cd, single point on PBEsol structure; values from VASP
! Crystal system: monoclinic
! ΔE to the lowest computed polymorph: 29.3 meV per atom
! D(E_F): 1.9 states/eV/cell
! Calculated volume: 22.4 A^3/atom
! DFT total energy: -48.1400 eV/atom
! ΔH_f (0 K): 19.93 kJ/mol of atoms
&SYSTEM
  ibrav = 0, nat = 4, ntyp = 3
/
ATOMIC_SPECIES
Mn 54.94 Mn.upf
Cd 112.41 Cd.upf
Tl 204.38 Tl.upf
ATOMIC_POSITIONS angstrom
Mn -1.059 -2.426 -0.902
Cd -1.243 0.101 0.999
Tl 1.403 -2.489 0.806
Tl -1.219 -0.038 -2.707
CELL_PARAMETERS angstrom
-2.487 0.202 1.997
-2.438 -0.076 -5.414
2.807 -4.978 1.611

! meta-GGA SCAN MgIn3, single point on PBEsol structure; values from VASP
! Crystal system: orthorhombic
! D(E_F): 1.8 states/eV/cell
! Calculated volume: 24.2 A^3/atom
! DFT total energy: -26.3088 eV/atom
! ΔH_f (0 K): -2.47 kJ/mol of atoms
&SYSTEM
  ibrav = 0, nat = 4, ntyp = 2
/
ATOMIC_SPECIES
Mg 24.30 Mg.upf
In 114.82 In.upf
ATOMIC_POSITIONS angstrom
Mg 0.000 2.650 1.849
In 0.000 0.000 5.430
In 1.676 2.650 4.578
In 1.676 0.000 2.681
CELL_PARAMETERS angstrom
3.352 0.000 0.000
0.000 5.300 0.000
0.000 0.000 5.452

! meta-GGA SCAN BaTaBe2, single point on PBEsol structure; values from VASP
! Crystal system: orthorhombic
! ΔE to the lowest computed polymorph: 0.0 meV per atom
! D(E_F): 3.2 states/eV/cell
! Calculated volume: 20.1 A^3/atom
! DFT total energy: -28.0586 eV/atom
! ΔH_f (0 K): 62.87 kJ/mol of atoms
&SYSTEM
  ibrav = 0, nat = 4, ntyp = 3
/
ATOMIC_SPECIES
Ta 180.95 Ta.upf
Be 9.01 Be.upf
Ba 137.33 Ba.upf
ATOMIC_POSITIONS angstrom
Ta -1.471 -2.156 0.333
Be 0.123 -0.089 0.460
Be -1.241 -0.481 1.982
Ba 0.991 -2.558 2.911
CELL_PARAMETERS angstrom
-3.324 -0.353 0.821
0.210 -3.834 -0.799
3.073 0.997 5.653